Density functional theory data (PBE) for CuPdIO6 after structural relaxation.

- calculated volume (Å³ per atom) = 11.83
- symmetry = P-31c (163)
- uncorrected energy (eV per atom) = -4.7958
- energy relative to the elements, uncorrected (meV per atom) = -286
- density of states at the Fermi level (states/eV per cell) = 0.88

Cell lengths 5.1828, 5.1828, 9.1559 Å; angles 90.00, 90.00, 120.00 degrees
Atoms (fractional coordinates):
Cu (0.0000, 0.0000, 0.0000)
Cu (0.0000, 0.0000, 0.5000)
Pd (0.3333, 0.6667, 0.2500)
Pd (0.6667, 0.3333, 0.7500)
I (0.6667, 0.3333, 0.2500)
I (0.3333, 0.6667, 0.7500)
O (0.6570, 0.6432, 0.1318)
O (0.9862, 0.3430, 0.1318)
O (0.3430, 0.9862, 0.6318)
O (0.0138, 0.6570, 0.8682)
O (0.3568, 0.3430, 0.3682)
O (0.9862, 0.6432, 0.3682)
O (0.6432, 0.9862, 0.8682)
O (0.6570, 0.0138, 0.3682)
O (0.0138, 0.3568, 0.6318)
O (0.3568, 0.0138, 0.1318)
O (0.6432, 0.6570, 0.6318)
O (0.3430, 0.3568, 0.8682)